Computed, not measured: a geometry-optimized CaPPb structure at the PBEsol level of DFT.

The formation energy from the elements is -0.37 eV/atom.

It has space group P3m1 (No. 156), with a = 4.1084 Å, b = 4.1084 Å, c = 5.7621 Å, α = 90.00°, β = 90.00° and γ = 120.00°. The inequivalent atoms are Ca at (0.0000, 0.0000, 0.0000), P at (0.6667, 0.3333, 0.7484) and Pb at (0.3333, 0.6667, 0.4784).

---

Computed, not measured: a geometry-optimized CaPPb structure at the PBEsol level of DFT.

The formation energy from the elements is -0.34 eV/atom.

It has space group I4mm (No. 107), with a = 3.6418 Å, b = 3.6418 Å, c = 10.9063 Å, α = 90.00°, β = 90.00° and γ = 90.00°. The inequivalent atoms are Ca at (0.0000, 0.0000, 0.0000), P at (0.0000, 0.0000, 0.6508) and Pb at (0.0000, 0.0000, 0.2802).

---

Computed, not measured: a geometry-optimized CaPPbS2 structure at the PBEsol level of DFT.

The energy relative to the elements, uncorrected is 0.016 eV/atom.

It has space group P4/mmm (No. 123), with a = 5.1522 Å, b = 5.1522 Å, c = 5.0351 Å, α = 90.00°, β = 90.00° and γ = 90.00°. The inequivalent atoms are Ca at (0.0000, 0.0000, 0.0000), P at (0.5000, 0.5000, 0.0000), Pb at (0.5000, 0.5000, 0.5000) and S at (0.0000, 0.5000, 0.5000).

---

no.,total DFT energy (no corrections) (eV per atom)
1,-4.346
2,-4.315
3,-4.122